Mn2CoBIr | GGA-PBE | optimized geometry

Results
The calculation puts the formation enthalpy at 0 K at 0.12 eV/atom.

Cell lengths 3.8584, 3.8584, 3.7730 Å; angles 90.00, 90.00, 90.00 degrees
Space group P4/mmm (No. 123)
Asymmetric unit:
Mn 0.0000 0.5000 0.0000 [2 per cell]
Co 0.0000 0.0000 0.5000 [1 per cell]
B 0.0000 0.0000 0.0000 [1 per cell]
Ir 0.5000 0.5000 0.5000 [1 per cell]

***

NbCo2BIr | GGA-PBE | optimized geometry

Results
The calculation puts the formation enthalpy at 0 K at 1.78 eV/atom.

Cell lengths 4.3334, 4.3334, 4.1539 Å; angles 90.00, 90.00, 90.00 degrees
Space group P4/mmm (No. 123)
Asymmetric unit:
Nb 0.0000 0.0000 0.0000 [1 per cell]
Co 0.0000 0.5000 0.0000 [2 per cell]
B 0.0000 0.0000 0.5000 [1 per cell]
Ir 0.5000 0.5000 0.5000 [1 per cell]

***

Np2CoB2Ir5 | GGA-PBE | optimized geometry

Results
The calculation puts the formation enthalpy at 0 K at -0.28 eV/atom.

Cell lengths 9.1235, 9.1235, 3.4678 Å; angles 90.00, 90.00, 90.00 degrees
Space group P4/mbm (No. 127)
Asymmetric unit:
Np 0.1783 0.3217 0.0000 [4 per cell]
Co 0.0000 0.0000 0.0000 [2 per cell]
B 0.1216 0.6216 0.0000 [4 per cell]
Ir 0.0000 0.5000 0.5000 [2 per cell]
Ir 0.0708 0.7882 0.5000 [8 per cell]

***

Np2Co3B12Ir | GGA-PBE | optimized geometry

Results
The calculation puts the formation enthalpy at 0 K at 0.09 eV/atom.

Cell lengths 5.4027, 5.4027, 22.4849 Å; angles 90.00, 90.00, 120.00 degrees
Space group R-3m (No. 166, hexagonal axes)
Asymmetric unit:
Np 0.0000 0.0000 0.1406 [6 per cell]
Co 0.0000 0.5000 0.0000 [9 per cell]
B 0.0749 0.5375 0.0907 [18 per cell]
B 0.1081 0.2161 0.7377 [18 per cell]
Ir 0.0000 0.0000 0.5000 [3 per cell]

***

Pa2Co4BIr2 | GGA-PBE | optimized geometry

Results
The calculation puts the formation enthalpy at 0 K at -0.59 eV/atom.

Cell lengths 5.6987, 5.6987, 7.8218 Å; angles 90.00, 90.00, 90.00 degrees
Space group I4/mmm (No. 139)
Asymmetric unit:
Pa 0.0000 0.5000 0.2500 [4 per cell]
Co 0.2476 0.2476 0.0000 [8 per cell]
B 0.0000 0.0000 0.5000 [2 per cell]
Ir 0.0000 0.0000 0.2348 [4 per cell]

***

PaCoB2Ir2 | GGA-PBE | optimized geometry

Results
The calculation puts the formation enthalpy at 0 K at -0.42 eV/atom.

Cell lengths 3.8631, 3.8631, 11.3578 Å; angles 90.00, 90.00, 90.00 degrees
Space group I4/mmm (No. 139)
Asymmetric unit:
Pa 0.0000 0.0000 0.0000 [2 per cell]
Co 0.0000 0.0000 0.5000 [2 per cell]
B 0.0000 0.0000 0.3274 [4 per cell]
Ir 0.0000 0.5000 0.2500 [4 per cell]